#a
First-principles (PBE) data for a relaxed structure of YCuAsOs, as listed in OQMD via LeMat-Bulk.

The space group is F-43m (No. 216) and the conventional cell measures 6.578, 6.578 and 6.578 Å, with angles of 90.00, 90.00 and 90.00 degrees. The distinct sites, in fractional coordinates, are Y at (0.000, 0.000, 0.000), Cu at (0.000, 0.000, 0.500), As at (0.250, 0.250, 0.250) and Os at (0.250, 0.250, 0.750).

Its volume is 71.2 Å³/f.u.

---

#b
First-principles (PBE) data for a relaxed structure of YCuAsOs, as listed in OQMD via LeMat-Bulk.

The space group is F-43m (No. 216) and the conventional cell measures 6.504, 6.504 and 6.504 Å, with angles of 90.00, 90.00 and 90.00 degrees. The distinct sites, in fractional coordinates, are Y at (0.000, 0.000, 0.000), Cu at (0.250, 0.250, 0.750), As at (0.000, 0.000, 0.500) and Os at (0.250, 0.250, 0.250).

Its volume is 68.8 Å³/f.u.

---

Pick #b: it beats the second-best structure by 0.193 eV/atom.

---

#a
First-principles (PBE) data for a relaxed structure of ZnCuAsOs, as listed in OQMD via LeMat-Bulk.

The space group is F-43m (No. 216) and the conventional cell measures 6.181, 6.181 and 6.181 Å, with angles of 90.00, 90.00 and 90.00 degrees. The distinct sites, in fractional coordinates, are Zn at (0.000, 0.000, 0.000), Cu at (0.000, 0.000, 0.500), As at (0.250, 0.250, 0.250) and Os at (0.250, 0.250, 0.750).

Its volume is 59.0 Å³/f.u.

---

#b
First-principles (PBE) data for a relaxed structure of ZnCuAsOs, as listed in OQMD via LeMat-Bulk.

The space group is F-43m (No. 216) and the conventional cell measures 6.112, 6.112 and 6.112 Å, with angles of 90.00, 90.00 and 90.00 degrees. The distinct sites, in fractional coordinates, are Zn at (0.000, 0.000, 0.000), Cu at (0.250, 0.250, 0.750), As at (0.000, 0.000, 0.500) and Os at (0.250, 0.250, 0.250).

Its volume is 57.1 Å³/f.u.

---

Pick #b: it beats the second-best structure by 0.317 eV/atom.

---

#a
First-principles (PBE) data for a relaxed structure of ZrCuAsOs, as listed in OQMD via LeMat-Bulk.

The space group is F-43m (No. 216) and the conventional cell measures 6.358, 6.358 and 6.358 Å, with angles of 90.00, 90.00 and 90.00 degrees. The distinct sites, in fractional coordinates, are Zr at (0.000, 0.000, 0.000), Cu at (0.250, 0.250, 0.250), As at (0.000, 0.000, 0.500) and Os at (0.250, 0.250, 0.750).

Its volume is 64.3 Å³/f.u.

---

#b
First-principles (PBE) data for a relaxed structure of ZrCuAsOs, as listed in OQMD via LeMat-Bulk.

The space group is F-43m (No. 216) and the conventional cell measures 6.395, 6.395 and 6.395 Å, with angles of 90.00, 90.00 and 90.00 degrees. The distinct sites, in fractional coordinates, are Zr at (0.000, 0.000, 0.000), Cu at (0.000, 0.000, 0.500), As at (0.250, 0.250, 0.250) and Os at (0.250, 0.250, 0.750).

Its volume is 65.4 Å³/f.u.

---

Pick #a: it beats the second-best structure by 0.166 eV/atom.

---

#a
First-principles (PBE) data for a relaxed structure of ScCuAsPd, as listed in OQMD via LeMat-Bulk.

The space group is F-43m (No. 216) and the conventional cell measures 6.380, 6.380 and 6.380 Å, with angles of 90.00, 90.00 and 90.00 degrees. The distinct sites, in fractional coordinates, are Sc at (0.000, 0.000, 0.000), Cu at (0.250, 0.250, 0.750), As at (0.000, 0.000, 0.500) and Pd at (0.250, 0.250, 0.250).

Its volume is 64.9 Å³/f.u.

---

#b
First-principles (PBE) data for a relaxed structure of ScCuAsPd, as listed in OQMD via LeMat-Bulk.

The space group is F-43m (No. 216) and the conventional cell measures 6.382, 6.382 and 6.382 Å, with angles of 90.00, 90.00 and 90.00 degrees. The distinct sites, in fractional coordinates, are Sc at (0.000, 0.000, 0.000), Cu at (0.000, 0.000, 0.500), As at (0.250, 0.250, 0.750) and Pd at (0.250, 0.250, 0.250).

Its volume is 65.0 Å³/f.u.

---

Pick #b: it beats the second-best structure by 0.043 eV/atom.